(1)
# V3OsCl (GGA-PBE, optimized geometry)
# DOS at the Fermi energy, states/eV/cell: 12.25
# M_tot, μB per formula unit: 5.755
# Relative energy among the computed polymorphs, eV/f.u.: 2.04
data_V3OsCl
_cell_length_a 4.765
_cell_length_b 4.765
_cell_length_c 4.765
_cell_angle_alpha 90.00
_cell_angle_beta 90.00
_cell_angle_gamma 90.00
_symmetry_space_group_name_H-M 'P 1'
_symmetry_Int_Tables_number 1
loop_
_symmetry_equiv_pos_as_xyz
'x,y,z'
loop_
_atom_site_label
_atom_site_type_symbol
_atom_site_fract_x
_atom_site_fract_y
_atom_site_fract_z
V1 V 0.000 0.000 0.500
V2 V 0.000 0.500 0.000
V3 V 0.500 0.000 0.000
Os1 Os 0.000 0.000 0.000
Cl1 Cl 0.500 0.500 0.500



(2)
# VOsCl (GGA-PBE, optimized geometry)
# DOS at the Fermi energy, states/eV/cell: 10.31
# M_tot, μB per formula unit: 0.063
# Relative energy among the computed polymorphs, eV/f.u.: 2.48
data_VOsCl
_cell_length_a 5.858
_cell_length_b 5.858
_cell_length_c 5.858
_cell_angle_alpha 90.00
_cell_angle_beta 90.00
_cell_angle_gamma 90.00
_symmetry_space_group_name_H-M 'P 1'
_symmetry_Int_Tables_number 1
loop_
_symmetry_equiv_pos_as_xyz
'x,y,z'
loop_
_atom_site_label
_atom_site_type_symbol
_atom_site_fract_x
_atom_site_fract_y
_atom_site_fract_z
V1 V 0.000 0.000 0.000
V2 V 0.000 0.500 0.500
V3 V 0.500 0.000 0.500
V4 V 0.500 0.500 0.000
Os1 Os 0.250 0.250 0.750
Os2 Os 0.250 0.750 0.250
Os3 Os 0.750 0.250 0.250
Os4 Os 0.750 0.750 0.750
Cl1 Cl 0.250 0.250 0.250
Cl2 Cl 0.250 0.750 0.750
Cl3 Cl 0.750 0.250 0.750
Cl4 Cl 0.750 0.750 0.250



(3)
# VOs2Cl (GGA-PBE, optimized geometry)
# DOS at the Fermi energy, states/eV/cell: 8.98
# M_tot, μB per formula unit: 0.000
# Relative energy among the computed polymorphs, eV/f.u.: 1.15
data_VOs2Cl
_cell_length_a 5.385
_cell_length_b 5.385
_cell_length_c 10.703
_cell_angle_alpha 90.00
_cell_angle_beta 90.00
_cell_angle_gamma 90.00
_symmetry_space_group_name_H-M 'P 1'
_symmetry_Int_Tables_number 1
loop_
_symmetry_equiv_pos_as_xyz
'x,y,z'
loop_
_atom_site_label
_atom_site_type_symbol
_atom_site_fract_x
_atom_site_fract_y
_atom_site_fract_z
V1 V 0.000 0.000 0.000
V2 V 0.000 0.500 0.250
V3 V 0.500 0.000 0.750
V4 V 0.500 0.500 0.500
Os1 Os 0.241 0.250 0.625
Os2 Os 0.250 0.741 0.875
Os3 Os 0.250 0.759 0.375
Os4 Os 0.259 0.250 0.125
Os5 Os 0.741 0.750 0.125
Os6 Os 0.750 0.241 0.375
Os7 Os 0.750 0.259 0.875
Os8 Os 0.759 0.750 0.625
Cl1 Cl 0.000 0.000 0.500
Cl2 Cl 0.000 0.500 0.750
Cl3 Cl 0.500 0.000 0.250
Cl4 Cl 0.500 0.500 0.000



(4)
# V3OsCl (GGA-PBE, optimized geometry)
# DOS at the Fermi energy, states/eV/cell: 8.45
# M_tot, μB per formula unit: 0.002
# Relative energy among the computed polymorphs, eV/f.u.: 0.00
data_V3OsCl
_cell_length_a 4.183
_cell_length_b 4.183
_cell_length_c 4.183
_cell_angle_alpha 90.00
_cell_angle_beta 90.00
_cell_angle_gamma 90.00
_symmetry_space_group_name_H-M 'P 1'
_symmetry_Int_Tables_number 1
loop_
_symmetry_equiv_pos_as_xyz
'x,y,z'
loop_
_atom_site_label
_atom_site_type_symbol
_atom_site_fract_x
_atom_site_fract_y
_atom_site_fract_z
V1 V 0.000 0.000 0.500
V2 V 0.000 0.500 0.000
V3 V 0.500 0.000 0.000
Os1 Os 0.500 0.500 0.500
Cl1 Cl 0.000 0.000 0.000



(5)
# VOsW2Cl (GGA-PBE, optimized geometry)
# DOS at the Fermi energy, states/eV/cell: 4.47
# M_tot, μB per formula unit: 0.000
data_VOsW2Cl
_cell_length_a 4.372
_cell_length_b 4.372
_cell_length_c 4.142
_cell_angle_alpha 90.00
_cell_angle_beta 90.00
_cell_angle_gamma 90.00
_symmetry_space_group_name_H-M 'P 1'
_symmetry_Int_Tables_number 1
loop_
_symmetry_equiv_pos_as_xyz
'x,y,z'
loop_
_atom_site_label
_atom_site_type_symbol
_atom_site_fract_x
_atom_site_fract_y
_atom_site_fract_z
V1 V 0.000 0.000 0.000
Os1 Os 0.500 0.500 0.000
W1 W 0.000 0.500 0.500
W2 W 0.500 0.000 0.500
Cl1 Cl 0.000 0.000 0.500



(6)
# VZnOs2Cl (GGA-PBE, optimized geometry)
# DOS at the Fermi energy, states/eV/cell: 5.19
# M_tot, μB per formula unit: 1.229
data_VZnOs2Cl
_cell_length_a 4.613
_cell_length_b 4.613
_cell_length_c 4.433
_cell_angle_alpha 90.00
_cell_angle_beta 90.00
_cell_angle_gamma 90.00
_symmetry_space_group_name_H-M 'P 1'
_symmetry_Int_Tables_number 1
loop_
_symmetry_equiv_pos_as_xyz
'x,y,z'
loop_
_atom_site_label
_atom_site_type_symbol
_atom_site_fract_x
_atom_site_fract_y
_atom_site_fract_z
V1 V 0.000 0.000 0.000
Zn1 Zn 0.500 0.500 0.500
Os1 Os 0.000 0.500 0.000
Os2 Os 0.500 0.000 0.000
Cl1 Cl 0.000 0.000 0.500



(7)
# OsW2Cl (GGA-PBE, optimized geometry)
# DOS at the Fermi energy, states/eV/cell: 8.55
# M_tot, μB per formula unit: 0.000
# Relative energy among the computed polymorphs, eV/f.u.: 1.99
data_OsW2Cl
_cell_length_a 7.953
_cell_length_b 2.821
_cell_length_c 5.839
_cell_angle_alpha 90.00
_cell_angle_beta 98.24
_cell_angle_gamma 90.00
_symmetry_space_group_name_H-M 'P 1'
_symmetry_Int_Tables_number 1
loop_
_symmetry_equiv_pos_as_xyz
'x,y,z'
loop_
_atom_site_label
_atom_site_type_symbol
_atom_site_fract_x
_atom_site_fract_y
_atom_site_fract_z
Os1 Os 0.000 0.000 0.000
Os2 Os 0.500 0.500 0.000
W1 W 0.248 0.000 0.758
W2 W 0.252 0.500 0.242
W3 W 0.748 0.500 0.758
W4 W 0.752 0.000 0.242
Cl1 Cl 0.000 0.500 0.500
Cl2 Cl 0.500 0.000 0.500



(8)
# OsW3Cl (GGA-PBE, optimized geometry)
# DOS at the Fermi energy, states/eV/cell: 6.40
# M_tot, μB per formula unit: 0.015
# Relative energy among the computed polymorphs, eV/f.u.: 2.82
data_OsW3Cl
_cell_length_a 4.822
_cell_length_b 4.822
_cell_length_c 4.822
_cell_angle_alpha 90.00
_cell_angle_beta 90.00
_cell_angle_gamma 90.00
_symmetry_space_group_name_H-M 'P 1'
_symmetry_Int_Tables_number 1
loop_
_symmetry_equiv_pos_as_xyz
'x,y,z'
loop_
_atom_site_label
_atom_site_type_symbol
_atom_site_fract_x
_atom_site_fract_y
_atom_site_fract_z
Os1 Os 0.000 0.000 0.000
W1 W 0.000 0.000 0.500
W2 W 0.000 0.500 0.000
W3 W 0.500 0.000 0.000
Cl1 Cl 0.500 0.500 0.500



(9)
# OsW2Cl (GGA-PBE, optimized geometry)
# DOS at the Fermi energy, states/eV/cell: 17.06
# M_tot, μB per formula unit: 0.000
# Relative energy among the computed polymorphs, eV/f.u.: 3.40
data_OsW2Cl
_cell_length_a 6.349
_cell_length_b 6.349
_cell_length_c 6.349
_cell_angle_alpha 90.00
_cell_angle_beta 90.00
_cell_angle_gamma 90.00
_symmetry_space_group_name_H-M 'P 1'
_symmetry_Int_Tables_number 1
loop_
_symmetry_equiv_pos_as_xyz
'x,y,z'
loop_
_atom_site_label
_atom_site_type_symbol
_atom_site_fract_x
_atom_site_fract_y
_atom_site_fract_z
Os1 Os 0.000 0.000 0.000
Os2 Os 0.000 0.500 0.500
Os3 Os 0.500 0.000 0.500
Os4 Os 0.500 0.500 0.000
W1 W 0.000 0.000 0.500
W2 W 0.000 0.500 0.000
W3 W 0.250 0.250 0.750
W4 W 0.250 0.750 0.250
W5 W 0.500 0.000 0.000
W6 W 0.500 0.500 0.500
W7 W 0.750 0.250 0.250
W8 W 0.750 0.750 0.750
Cl1 Cl 0.250 0.250 0.250
Cl2 Cl 0.250 0.750 0.750
Cl3 Cl 0.750 0.250 0.750
Cl4 Cl 0.750 0.750 0.250



(10)
# OsW2Cl (GGA-PBE, optimized geometry)
# DOS at the Fermi energy, states/eV/cell: 5.05
# M_tot, μB per formula unit: 0.000
# Relative energy among the computed polymorphs, eV/f.u.: 0.14
data_OsW2Cl
_cell_length_a 2.864
_cell_length_b 2.864
_cell_length_c 26.091
_cell_angle_alpha 90.00
_cell_angle_beta 90.00
_cell_angle_gamma 120.00
_symmetry_space_group_name_H-M 'P 1'
_symmetry_Int_Tables_number 1
loop_
_symmetry_equiv_pos_as_xyz
'x,y,z'
loop_
_atom_site_label
_atom_site_type_symbol
_atom_site_fract_x
_atom_site_fract_y
_atom_site_fract_z
Os1 Os 0.000 0.000 0.000
Os2 Os 0.333 0.667 0.667
Os3 Os 0.667 0.333 0.333
W1 W 0.000 0.000 0.250
W2 W 0.000 0.000 0.750
W3 W 0.333 0.667 0.417
W4 W 0.333 0.667 0.916
W5 W 0.667 0.333 0.084
W6 W 0.667 0.333 0.583
Cl1 Cl 0.000 0.000 0.500
Cl2 Cl 0.333 0.667 0.167
Cl3 Cl 0.667 0.333 0.833



| no. | formation energy without anion corrections (eV per formula unit) |
| --- | --- |
| 1 | 5.434 |
| 2 | 2.527 |
| 3 | 5.081 |
| 4 | 3.390 |
| 5 | 6.581 |
| 6 | 6.880 |
| 7 | 3.379 |
| 8 | 11.112 |
| 9 | 4.795 |
| 10 | 1.532 |